Material: Tb2FeSnO6
Method: DFT, PBE+U
State: optimized geometry

* N(E_F): 0.0000 states/eV per atom
* mass density: 7.3 g/cm³
* VASP energy: -7.391 eV per atom
* size of the total moment: 4.0 Bohr magnetons per cell

Cell lengths 5.6190, 5.6374, 5.8102 Å; angles 118.13, 91.00, 119.54 degrees
Space group P1 (No. 1)
Unique sites:
Tb: 0.0000 0.0000 0.0000 [1 per cell]
Tb: 0.4983 0.9953 0.4962 [1 per cell]
Fe: 0.2767 0.5517 0.8341 [1 per cell]
Sn: 0.7827 0.5632 0.3497 [1 per cell]
O: 0.0608 0.4823 0.1498 [1 per cell]
O: 0.1498 0.0521 0.6369 [1 per cell]
O: 0.4264 0.0855 0.1489 [1 per cell]
O: 0.5809 0.7263 0.6379 [1 per cell]
O: 0.6530 0.7173 0.1407 [1 per cell]
O: 0.9132 0.4841 0.6454 [1 per cell]


Material: TbFe2SnO6
Method: DFT, PBE+U
State: optimized geometry

* N(E_F): 0.0000 states/eV per atom
* mass density: 6.7 g/cm³
* VASP energy: -6.819 eV per atom
* size of the total moment: 5.0 Bohr magnetons per cell

Cell lengths 5.3327, 5.3472, 5.7091 Å; angles 62.26, 63.21, 60.16 degrees
Space group P1 (No. 1)
Unique sites:
Tb: 0.0000 0.0000 0.0000 [1 per cell]
Fe: 0.2131 0.2120 0.3733 [1 per cell]
Fe: 0.7261 0.7311 0.8269 [1 per cell]
Sn: 0.5195 0.5212 0.4489 [1 per cell]
O: 0.1298 0.8293 0.6281 [1 per cell]
O: 0.3412 0.5600 0.1632 [1 per cell]
O: 0.4286 0.1211 0.6340 [1 per cell]
O: 0.5595 0.9430 0.1624 [1 per cell]
O: 0.8334 0.4224 0.6294 [1 per cell]
O: 0.9335 0.3516 0.1545 [1 per cell]


Material: FeSnTeO5
Method: DFT, PBE+U
State: optimized geometry

* N(E_F): 0.0000 states/eV per atom
* mass density: 5.3 g/cm³
* VASP energy: -5.869 eV per atom
* size of the total moment: 16.0 Bohr magnetons per cell

Cell lengths 7.0312, 10.1014, 7.2460 Å; angles 90.00, 110.24, 90.00 degrees
Space group C2/c (No. 15)
Unique sites:
Fe: 0.0000 0.9998 0.2500 [4 per cell]
Sn: 0.2500 0.2500 0.0000 [4 per cell]
Te: 0.0000 0.4928 0.2500 [4 per cell]
O: 0.0000 0.1979 0.7500 [4 per cell]
O: 0.0319 0.3597 0.0732 [8 per cell]
O: 0.1821 0.0659 0.1025 [8 per cell]


Material: TiFe2SnO6
Method: DFT, PBE+U
State: optimized geometry

* N(E_F): 0.0000 states/eV per atom
* mass density: 5.6 g/cm³
* VASP energy: -7.199 eV per atom
* size of the total moment: 16.0 Bohr magnetons per cell

Cell lengths 5.3345, 5.3851, 9.3485 Å; angles 90.00, 124.53, 90.00 degrees
Space group P2_1/c (No. 14)
Unique sites:
Ti: 0.0000 0.0000 0.0000 [2 per cell]
Fe: 0.2472 0.0373 0.7548 [4 per cell]
Sn: 0.5000 0.0000 0.5000 [2 per cell]
O: 0.1298 0.0718 0.2450 [4 per cell]
O: 0.2316 0.6875 0.0662 [4 per cell]
O: 0.3760 0.1701 0.0572 [4 per cell]


Material: TmFe2SnO6
Method: DFT, PBE+U
State: optimized geometry

* N(E_F): 0.0000 states/eV per atom
* mass density: 6.7 g/cm³
* VASP energy: -6.997 eV per atom
* size of the total moment: 9.0 Bohr magnetons per cell

Cell lengths 5.3709, 5.3752, 5.7548 Å; angles 117.04, 90.66, 119.88 degrees
Space group P1 (No. 1)
Unique sites:
Tm: 0.0000 0.0000 0.0000 [1 per cell]
Fe: 0.2118 0.4229 0.6288 [1 per cell]
Fe: 0.7256 0.4456 0.1555 [1 per cell]
Sn: 0.5116 0.0229 0.5269 [1 per cell]
O: 0.1204 0.5355 0.3333 [1 per cell]
O: 0.3287 0.2469 0.8216 [1 per cell]
O: 0.4074 0.2234 0.3397 [1 per cell]
O: 0.5757 0.8952 0.8124 [1 per cell]
O: 0.8116 0.9397 0.3403 [1 per cell]
O: 0.9230 0.5009 0.8120 [1 per cell]


Material: Tm2FeSnO6
Method: DFT, PBE+U
State: optimized geometry

* N(E_F): 0.0000 states/eV per atom
* mass density: 7.7 g/cm³
* VASP energy: -7.410 eV per atom
* size of the total moment: 4.0 Bohr magnetons per cell

Cell lengths 5.5363, 5.5541, 5.8112 Å; angles 117.70, 90.89, 119.61 degrees
Space group P1 (No. 1)
Unique sites:
Tm: 0.0000 0.0000 0.0000 [1 per cell]
Tm: 0.4975 0.9942 0.4954 [1 per cell]
Fe: 0.2798 0.5592 0.8468 [1 per cell]
Sn: 0.7876 0.5735 0.3656 [1 per cell]
O: 0.0708 0.4858 0.1718 [1 per cell]
O: 0.1660 0.0612 0.6571 [1 per cell]
O: 0.4199 0.0971 0.1707 [1 per cell]
O: 0.5906 0.7525 0.6583 [1 per cell]
O: 0.6698 0.7436 0.1619 [1 per cell]
O: 0.9058 0.4871 0.6660 [1 per cell]


Material: UFeSnO6
Method: DFT, PBE+U
State: optimized geometry

* N(E_F): 0.4929 states/eV per atom
* mass density: 7.4 g/cm³
* VASP energy: -7.653 eV per atom
* size of the total moment: 11.6 Bohr magnetons per cell

Cell lengths 5.4209, 5.4209, 8.9909 Å; angles 90.00, 90.00, 120.00 degrees
Space group P-31c (No. 163)
Unique sites:
U: 0.3333 0.6667 0.2500 [2 per cell]
Fe: 0.0000 0.0000 0.0000 [2 per cell]
Sn: 0.3333 0.6667 0.7500 [2 per cell]
O: 0.0066 0.3300 0.6260 [12 per cell]


Material: V2FeSnO6
Method: DFT, PBE+U
State: optimized geometry

* N(E_F): 0.0000 states/eV per atom
* mass density: 5.4 g/cm³
* VASP energy: -7.205 eV per atom
* size of the total moment: 8.0 Bohr magnetons per cell

Cell lengths 5.2573, 5.2638, 5.6016 Å; angles 117.19, 91.21, 119.12 degrees
Space group P1 (No. 1)
Unique sites:
V: 0.0000 0.0000 0.0000 [1 per cell]
V: 0.4937 0.9948 0.4971 [1 per cell]
Fe: 0.2873 0.5735 0.8694 [1 per cell]
Sn: 0.7945 0.5841 0.3836 [1 per cell]
O: 0.0976 0.4805 0.2078 [1 per cell]
O: 0.2088 0.0780 0.6942 [1 per cell]
O: 0.3945 0.1056 0.2130 [1 per cell]
O: 0.6150 0.8172 0.6959 [1 per cell]
O: 0.7079 0.8100 0.2009 [1 per cell]
O: 0.8866 0.4986 0.7073 [1 per cell]


> Which of these has the lowest VASP energy?

UFeSnO6


> Which formula does entry 2 have?

TbFe2SnO6


Copy entry 2 word for word.
Material: TbFe2SnO6
Method: DFT, PBE+U
State: optimized geometry

* N(E_F): 0.0000 states/eV per atom
* mass density: 6.7 g/cm³
* VASP energy: -6.819 eV per atom
* size of the total moment: 5.0 Bohr magnetons per cell

Cell lengths 5.3327, 5.3472, 5.7091 Å; angles 62.26, 63.21, 60.16 degrees
Space group P1 (No. 1)
Unique sites:
Tb: 0.0000 0.0000 0.0000 [1 per cell]
Fe: 0.2131 0.2120 0.3733 [1 per cell]
Fe: 0.7261 0.7311 0.8269 [1 per cell]
Sn: 0.5195 0.5212 0.4489 [1 per cell]
O: 0.1298 0.8293 0.6281 [1 per cell]
O: 0.3412 0.5600 0.1632 [1 per cell]
O: 0.4286 0.1211 0.6340 [1 per cell]
O: 0.5595 0.9430 0.1624 [1 per cell]
O: 0.8334 0.4224 0.6294 [1 per cell]
O: 0.9335 0.3516 0.1545 [1 per cell]


> Look up the N(E_F) of the seventh one.

0.4929 states/eV per atom